(1)
Entry from Alexandria: KNiTe2I after structural relaxation (PBE).

Results
symmetry	P4/mmm, No. 123
total magnetization	0.00	Bohr magnetons per cell
uncorrected formation energy	-1.32	eV per formula unit
mass density	5146	kg/m3

abc: 5.110 5.110 5.930
angles: 90.00 90.00 90.00
Fractional positions:
I (0.000, 0.000, 0.500)
Ni (0.000, 0.000, 0.000)
K (0.500, 0.500, 0.500)
Te (0.000, 0.500, 0.000)
Te (0.500, 0.000, 0.000)

(2)
Entry from Alexandria: AcGa2P after structural relaxation (PBE).

Results
symmetry	R-3m, No. 166
total magnetization	0.00	Bohr magnetons per cell
DFT formation energy	-14	kJ/mol of atoms
relative energy among the computed polymorphs	0.318	eV/atom
mass density	6567	kg/m3

abc: 5.603 5.603 4.912
angles: 55.22 55.22 60.00
Fractional positions:
P (0.000, 0.000, 0.000)
Ac (0.500, 0.500, 0.500)
Ga (0.218, 0.218, 0.346)
Ga (0.782, 0.782, 0.654)

(3)
Entry from Alexandria: Pm8Tl2Ir3 after structural relaxation (PBE).

Results
symmetry	P2/m, No. 10
total magnetization	0.00	Bohr magnetons per cell
DFT formation energy	-39	kJ/mol of atoms
mass density	9233	kg/m3

abc: 5.043 10.146 9.085
angles: 123.90 90.00 90.00
Fractional positions:
Pm (0.000, 0.610, 0.221)
Pm (0.000, 0.390, 0.779)
Pm (0.000, 0.113, 0.226)
Pm (0.000, 0.887, 0.774)
Pm (0.500, 0.644, 0.776)
Pm (0.500, 0.132, 0.776)
Pm (0.500, 0.868, 0.224)
Pm (0.500, 0.356, 0.224)
Tl (0.500, 0.258, 0.515)
Tl (0.500, 0.742, 0.485)
Ir (0.500, 0.000, 0.000)
Ir (0.000, 0.255, 0.000)
Ir (0.000, 0.745, 0.000)

(4)
Entry from Alexandria: Al3BiAu3 after structural relaxation (PBE).

Results
symmetry	Pm-3n, No. 223
total magnetization	0.00	Bohr magnetons per cell
DFT formation energy	5	kJ/mol of atoms
mass density	8400	kg/m3

abc: 7.035 7.035 7.035
angles: 90.00 90.00 90.00
Fractional positions:
Au (0.000, 0.250, 0.500)
Au (0.000, 0.750, 0.500)
Au (0.500, 0.000, 0.750)
Au (0.750, 0.500, 0.000)
Au (0.500, 0.000, 0.250)
Au (0.250, 0.500, 0.000)
Bi (0.500, 0.500, 0.500)
Bi (0.000, 0.000, 0.000)
Al (0.250, 0.000, 0.500)
Al (0.000, 0.500, 0.250)
Al (0.500, 0.750, 0.000)
Al (0.750, 0.000, 0.500)
Al (0.000, 0.500, 0.750)
Al (0.500, 0.250, 0.000)

(5)
Entry from Alexandria: La2ReAg after structural relaxation (PBE).

Results
symmetry	P4mm, No. 99
total magnetization	0.00	Bohr magnetons per cell
DFT formation energy	41	kJ/mol of atoms
relative energy among the computed polymorphs	0.366	eV/atom
mass density	8679	kg/m3

abc: 3.745 3.745 7.800
angles: 90.00 90.00 90.00
Fractional positions:
Re (0.000, 0.000, 0.562)
Ag (0.500, 0.500, 0.705)
La (0.000, 0.000, 0.907)
La (0.500, 0.500, 0.326)

(6)
Entry from Alexandria: CsNbRh after structural relaxation (PBE).

Results
symmetry	P1, No. 1
total magnetization	0.00	Bohr magnetons per cell
DFT formation energy	28	kJ/mol of atoms
relative energy among the computed polymorphs	0.045	eV/atom
mass density	5158	kg/m3

abc: 4.350 4.351 12.935
angles: 86.37 86.54 60.07
Fractional positions:
Cs (0.323, 0.057, 0.618)
Cs (0.918, 0.642, 0.243)
Nb (0.631, 0.362, 0.840)
Nb (0.280, 0.008, 0.994)
Rh (0.960, 0.690, 0.878)
Rh (0.609, 0.337, 0.032)

DOS(E_F), record by record: 6.65; 2.64; 12.06; 7.54; 2.62; 6.74 states/eV/cell
DFT total energy, record by record: -3.207; -4.039; -5.735; -3.506; -5.867; -5.799 eV per atom